Entry 1:
DFT (PBE) results for a geometry-optimized Ca3Tl5H12 structure.

Lattice parameters (Å, degrees): 11.770 11.770 11.770 109.47 109.47 109.47
Atoms (fractional coordinates):
Tl1 0.250 0.375 0.625
H1 0.354 0.930 0.761
Ca1 0.250 0.625 0.875
H2 0.261 0.854 0.930
H3 0.239 0.669 0.093
Tl2 0.875 0.250 0.625
H4 0.331 0.761 0.407
Tl3 0.000 0.500 0.500
H5 0.430 0.669 0.076
H6 0.669 0.430 0.576
H7 0.907 0.831 0.761
H8 0.646 0.070 0.239
Ca2 0.625 0.375 0.750
H9 0.924 0.093 0.854
Tl4 0.000 0.000 0.000
H10 0.354 0.424 0.093
Tl5 0.250 0.875 0.125
H11 0.570 0.331 0.924
H12 0.831 0.924 0.070
H13 0.930 0.576 0.169
H14 0.430 0.761 0.854
H15 0.076 0.169 0.430
Tl6 0.000 0.000 0.500
Ca3 0.750 0.875 0.625
Tl7 0.375 0.250 0.125
H16 0.239 0.570 0.646
H17 0.169 0.093 0.739
Tl8 0.500 0.000 0.000
H18 0.739 0.146 0.070
H19 0.146 0.407 0.076
H20 0.093 0.169 0.239
H21 0.576 0.646 0.407
H22 0.146 0.739 0.570
Tl9 0.625 0.875 0.250
H23 0.924 0.831 0.570
Ca4 0.375 0.750 0.625
H24 0.739 0.593 0.169
H25 0.407 0.146 0.576
Tl10 0.125 0.375 0.250
Tl11 0.000 0.500 0.000
H26 0.854 0.261 0.430
Tl12 0.375 0.125 0.750
H27 0.761 0.331 0.907
Tl13 0.500 0.000 0.500
H28 0.424 0.354 0.593
H29 0.407 0.261 0.331
Tl14 0.750 0.125 0.875
H30 0.424 0.070 0.331
H31 0.930 0.354 0.261
Tl15 0.750 0.625 0.375
H32 0.076 0.907 0.146
H33 0.593 0.854 0.424
Ca5 0.125 0.875 0.750
Ca6 0.875 0.125 0.250
Tl16 0.500 0.500 0.500
Ca7 0.875 0.750 0.125
H34 0.331 0.570 0.424
Ca8 0.625 0.250 0.375
H35 0.907 0.076 0.646
Tl17 0.875 0.625 0.750
Tl18 0.500 0.500 0.000
H36 0.570 0.239 0.146
H37 0.070 0.646 0.739
H38 0.831 0.907 0.261
H39 0.261 0.407 0.831
H40 0.070 0.424 0.831
H41 0.669 0.239 0.593
H42 0.593 0.739 0.669
Tl19 0.125 0.750 0.375
Ca9 0.125 0.250 0.875
H43 0.576 0.930 0.669
H44 0.169 0.076 0.930
Ca10 0.250 0.125 0.375
Ca11 0.375 0.625 0.250
H45 0.761 0.430 0.354
H46 0.854 0.593 0.924
H47 0.093 0.924 0.354
Tl20 0.625 0.750 0.875
Ca12 0.750 0.375 0.125
H48 0.646 0.576 0.907

Properties
The value obtained for the final energy is -2.796 eV/atom. For the total magnetic moment, the calculation gives 0.0 μB/f.u. The space group is Ia-3d. The value obtained for the volume is 1255.2 Å³ per cell.


Entry 2:
DFT (PBE) results for a geometry-optimized Ca3TlH3 structure.

Lattice parameters (Å, degrees): 6.651 6.651 8.764 67.70 67.70 60.00
Atoms (fractional coordinates):
Ca1 0.248 0.544 0.308
H1 0.861 0.569 0.398
Ca2 0.544 0.900 0.308
H2 0.827 0.139 0.602
Ca3 0.456 0.100 0.692
Ca4 0.900 0.248 0.308
Tl1 0.666 0.666 0.001
Ca5 0.100 0.752 0.692
Tl2 0.334 0.334 0.999
H3 0.139 0.431 0.602
Ca6 0.752 0.456 0.692
H4 0.173 0.861 0.398
H5 0.431 0.827 0.602
H6 0.569 0.173 0.398

Properties
The value obtained for the final energy is -3.030 eV/atom. For the total magnetic moment, the calculation gives 0.0 μB/f.u. The space group is R-3. The value obtained for the volume is 301.8 Å³ per cell.


Entry 3:
DFT (PBE) results for a geometry-optimized Ca5Tl2H structure.

Lattice parameters (Å, degrees): 7.419 7.419 6.873 122.70 122.70 89.93
Atoms (fractional coordinates):
Tl1 0.756 0.256 0.512
H1 0.998 0.998 0.996
Ca1 0.249 0.249 0.009
Ca2 0.748 0.748 0.496
Ca3 0.249 0.760 0.009
Ca4 0.761 0.761 0.009
Ca5 0.760 0.249 0.009
Tl2 0.256 0.756 0.512

Properties
The value obtained for the final energy is -2.469 eV/atom. For the total magnetic moment, the calculation gives 0.7 μB/f.u. The space group is I4mm. The value obtained for the volume is 244.3 Å³ per cell.